A geometry-optimized FeAg2Mo structure, computed with GGA-PBEsol.

a b c (Å): 4.0461 4.6163 4.0461
angles (deg): 64.01 90.00 115.99
Last column: nearest neighbours and their distance in Å.
Positions (direct):
Mo: 0.7500 0.5000 0.7500  4 Fe 2.72, 8 Ag 2.72-2.86
Fe: 0.5000 0.0000 0.5000  8 Ag 2.72-2.86, 4 Mo 2.72
Ag: 0.0000 0.0000 0.0000  4 Mo 2.72, 4 Ag 2.72, 4 Fe 2.86
Ag: 0.2500 0.5000 0.2500  4 Ag 2.72, 4 Fe 2.72, 4 Mo 2.86

Properties
DFT total energy in eV/cell: -24.99
Space group: I-4m2
Density of states at the Fermi level in states/eV/atom: 0.61
Energy relative to the elements in meV/atom: 592
Crystal system: tetragonal
Theoretical density in g/cm³: 10.3

A geometry-optimized YP2SBr structure, computed with GGA-PBEsol.

a b c (Å): 4.9925 5.3340 5.3340
angles (deg): 90.00 90.00 90.00
Last column: nearest neighbours and their distance in Å.
Positions (direct):
Y: 0.0000 0.0000 0.0000  2 S 2.50, 4 P 2.67
S: 0.5000 0.0000 0.0000  2 Y 2.50
P: 0.0000 0.0000 0.5000  2 Y 2.67
Br: 0.5000 0.5000 0.5000  8 P 3.65, 4 S 3.77
P: 0.0000 0.5000 0.0000  2 Y 2.67

Properties
DFT total energy in eV/cell: -22.28
Space group: P4/mmm
Density of states at the Fermi level in states/eV/atom: 1.14
Crystal system: tetragonal
Theoretical density in g/cm³: 3.1

A geometry-optimized RbCaAl2Ge structure, computed with GGA-PBEsol.

a b c (Å): 5.0571 5.0571 5.8929
angles (deg): 90.00 90.00 90.00
Last column: nearest neighbours and their distance in Å.
Positions (direct):
Al: 0.0000 0.5000 0.0000  2 Ge 2.53
Rb: 0.0000 0.0000 0.5000  2 Ge 2.95
Ca: 0.5000 0.5000 0.5000  4 Rb 3.58, 8 Al 3.88
Ge: 0.0000 0.0000 0.0000  4 Al 2.53
Al: 0.5000 0.0000 0.0000  2 Ge 2.53

Properties
DFT total energy in eV/cell: -13.94
Space group: P4/mmm
Density of states at the Fermi level in states/eV/atom: 0.60
Energy relative to the elements in meV/atom: 469
Crystal system: tetragonal
Theoretical density in g/cm³: 2.8